[1]
AcCe3Pm2N6 | Alexandria via LeMat-Bulk | GGA-PBE | relaxed; DFT total energy = -98.20 eV per cell; formation energy (no corrections) = -1403 meV per atom; M_tot = 0.12 μB/f.u.
1.0
3.627 0.000 0.000
0.000 7.273 0.263
-1.814 -2.095 7.647
Ac Ce Pm N
1 3 2 6
direct
0.500 0.000 0.000
0.500 0.500 0.000
0.831 0.169 0.662
0.169 0.831 0.338
0.831 0.662 0.662
0.169 0.338 0.338
0.324 0.919 0.648
0.666 0.591 0.332
0.676 0.081 0.352
0.997 0.275 0.994
0.003 0.725 0.006
0.334 0.409 0.668

=====

[2]
Ni2SnPd2 | Alexandria via LeMat-Bulk | GGA-PBE | relaxed; DFT total energy = -25.86 eV per cell; energy relative to the lowest polymorph listed for this composition = 96.3 meV/atom; ΔH_f (0 K) = 0.019 eV/atom; M_tot = 0.00 μB/f.u.
1.0
-2.799 0.576 1.792
1.172 -1.980 2.466
2.201 4.762 5.082
Ni Sn Pd
2 1 2
direct
0.750 0.250 0.500
0.250 0.750 0.500
0.000 0.000 0.000
0.395 0.395 0.211
0.605 0.605 0.789

=====

[3]
PmTiHg2 | Alexandria via LeMat-Bulk | GGA-PBE | relaxed; DFT total energy = -13.89 eV per cell; energy relative to the lowest polymorph listed for this composition = 13.3 meV/atom; ΔH_f (0 K) = -0.159 eV/atom; M_tot = 1.75 μB/f.u.
1.0
5.117 0.000 0.000
2.559 4.431 0.000
2.559 1.477 4.178
Ti Hg Pm
1 2 1
direct
0.500 0.500 0.500
0.250 0.250 0.250
0.750 0.750 0.750
0.000 0.000 0.000

=====

[4]
YTcRu2N | Alexandria via LeMat-Bulk | GGA-PBE | relaxed; DFT total energy = -43.28 eV per cell; formation energy (no corrections) = 86 meV per atom; energy relative to the lowest polymorph listed for this composition = 0.0 meV/atom; M_tot = 0.87 μB/f.u.
1.0
-0.995 3.561 1.632
0.563 -1.764 4.194
3.885 1.111 -0.054
Y Ru Tc N
1 2 1 1
direct
0.000 0.500 0.000
0.000 0.000 0.500
0.500 0.000 0.000
0.500 0.500 0.500
0.000 0.000 0.000

=====

[5]
Y2Er2Sc | Alexandria via LeMat-Bulk | GGA-PBE | relaxed; DFT total energy = -56.32 eV per cell; energy relative to the lowest polymorph listed for this composition = 0.0 meV/atom; ΔH_f (0 K) = 0.045 eV/atom; M_tot = 0.00 μB/f.u.
1.0
4.937 0.001 -0.002
-2.468 5.459 0.716
-0.004 -1.428 10.920
Y Er Sc
4 4 2
direct
0.950 0.901 0.651
0.151 0.303 0.050
0.050 0.099 0.349
0.849 0.697 0.950
0.348 0.696 0.450
0.450 0.901 0.152
0.652 0.304 0.550
0.550 0.099 0.848
0.751 0.501 0.251
0.249 0.499 0.749

=====

[6]
Sr3Dy2PaP6 | Alexandria via LeMat-Bulk | GGA-PBE | relaxed; DFT total energy = -71.44 eV per cell; ΔH_f (0 K) = -1.270 eV/atom; M_tot = 0.00 μB/f.u.
1.0
-6.664 2.497 1.045
2.686 -5.037 4.376
3.839 5.806 2.354
Sr Dy Pa P
3 2 1 6
direct
0.169 0.831 0.500
0.831 0.169 0.500
0.500 0.500 0.500
0.333 0.667 0.000
0.667 0.333 0.000
0.000 0.000 0.000
0.928 0.603 0.782
0.748 0.748 0.218
0.072 0.397 0.218
0.603 0.928 0.782
0.252 0.252 0.782
0.397 0.072 0.218

=====

[7]
P3C5 | Alexandria via LeMat-Bulk | GGA-PBE | relaxed; DFT total energy = -107.32 eV per cell; energy relative to the lowest polymorph listed for this composition = 0.0 meV/atom; ΔH_f (0 K) = 1.086 eV/atom; M_tot = 0.39 μB/f.u.
1.0
8.298 0.011 -0.005
4.365 5.024 -0.003
3.931 -1.818 4.672
P C
6 10
direct
0.158 0.658 0.842
0.658 0.158 0.342
0.270 0.769 0.230
0.606 0.105 0.894
0.139 0.430 0.570
0.930 0.639 0.361
0.799 0.764 0.701
0.264 0.298 0.236
0.826 0.055 0.945
0.077 0.234 0.766
0.670 0.444 0.556
0.325 0.544 0.455
0.734 0.577 0.423
0.555 0.325 0.674
0.045 0.824 0.175
0.944 0.170 0.830

=====

[8]
PmYGe | Alexandria via LeMat-Bulk | GGA-PBE | relaxed; DFT total energy = -17.07 eV per cell; energy relative to the lowest polymorph listed for this composition = 201.2 meV/atom; ΔH_f (0 K) = -0.412 eV/atom; M_tot = 0.00 μB/f.u.
1.0
4.291 0.000 0.000
0.000 4.753 0.000
0.000 -2.377 4.117
Y Ge Pm
1 1 1
direct
0.230 0.667 0.333
0.063 0.333 0.667
0.706 0.000 0.000

=====

[9]
AcLaAl2 | Alexandria via LeMat-Bulk | GGA-PBE | relaxed; DFT total energy = -35.71 eV per cell; ΔH_f (0 K) = -0.333 eV/atom; M_tot = 0.00 μB/f.u.
1.0
4.907 0.000 0.000
-2.453 6.591 0.000
0.000 0.000 7.427
Ac La Al
2 2 4
direct
0.936 0.872 0.250
0.064 0.128 0.750
0.224 0.447 0.250
0.776 0.553 0.750
0.404 0.808 0.929
0.596 0.192 0.071
0.596 0.192 0.429
0.404 0.808 0.571

=====

[10]
CaIn5Hg4 | Alexandria via LeMat-Bulk | GGA-PBE | relaxed; DFT total energy = -17.90 eV per cell; energy relative to the lowest polymorph listed for this composition = 0.0 meV/atom; ΔH_f (0 K) = -0.100 eV/atom; M_tot = 0.00 μB/f.u.
1.0
-2.529 1.795 -4.758
-6.486 -0.817 5.653
6.642 4.626 1.715
Ca In Hg
1 5 4
direct
0.500 0.000 0.000
0.955 0.437 0.642
0.710 0.729 0.575
0.290 0.271 0.425
0.500 0.500 0.000
0.045 0.563 0.358
0.339 0.048 0.625
0.033 0.211 0.966
0.661 0.952 0.375
0.967 0.789 0.034

=====

[11]
Lu2MgTc | Alexandria via LeMat-Bulk | GGA-PBE | relaxed; DFT total energy = -21.24 eV per cell; energy relative to the lowest polymorph listed for this composition = 83.4 meV/atom; ΔH_f (0 K) = -0.059 eV/atom; M_tot = 0.00 μB/f.u.
1.0
4.938 0.000 0.000
2.469 4.276 0.000
2.469 1.425 4.032
Mg Lu Tc
1 2 1
direct
0.500 0.500 0.500
0.250 0.250 0.250
0.750 0.750 0.750
0.000 0.000 0.000

=====

[12]
SrMg2W | Alexandria via LeMat-Bulk | GGA-PBE | relaxed; DFT total energy = -14.55 eV per cell; energy relative to the lowest polymorph listed for this composition = 237.0 meV/atom; ΔH_f (0 K) = 0.819 eV/atom; M_tot = 0.00 μB/f.u.
1.0
5.332 0.000 0.000
0.000 5.332 0.000
0.000 0.000 3.118
Mg Sr W
2 1 1
direct
0.000 0.000 0.000
0.500 0.500 0.000
0.500 0.000 0.500
0.000 0.500 0.500